NdErMo4 after structural relaxation, computed with PBE.

a = 5.5436 Å, b = 5.5436 Å, c = 5.5436 Å
α = 60.00°, β = 60.00°, γ = 60.00°
Atoms (fractional coordinates):
Nd  0.0000  0.0000  0.0000
Er  0.7500  0.7500  0.7500
Mo  0.3747  0.3747  0.3747
Mo  0.3747  0.3747  0.8758
Mo  0.3747  0.8758  0.3747
Mo  0.8758  0.3747  0.3747

Values from the calculation:
Fermi-level density of states ... 1.336 states/eV per atom
Symmetry ... F-43m, No. 216
Uncorrected energy ... -51.659 eV/cell
Total moment ... 0.00 Bohr magnetons per cell
V ... 20.1 A^3/atom
Theoretical density ... 9584 kg/m³

TmSc4Tl2 after structural relaxation, computed with PBE.

a = 8.6234 Å, b = 8.6234 Å, c = 4.8659 Å
α = 90.00°, β = 90.00°, γ = 90.00°
Atoms (fractional coordinates):
Tm  0.0000  0.0000  0.0000
Tm  0.5000  0.5000  0.5000
Sc  0.1092  0.3671  0.5000
Sc  0.1329  0.6092  0.0000
Sc  0.3671  0.1092  0.5000
Sc  0.3908  0.8671  0.0000
Sc  0.6092  0.1329  0.0000
Sc  0.6329  0.8908  0.5000
Sc  0.8671  0.3908  0.0000
Sc  0.8908  0.6329  0.5000
Tl  0.1961  0.8039  0.5000
Tl  0.3039  0.3039  0.0000
Tl  0.6961  0.6961  0.0000
Tl  0.8039  0.1961  0.5000

Values from the calculation:
Fermi-level density of states ... 1.422 states/eV per atom
Symmetry ... P4_2/mnm, No. 136
Total moment ... 0.00 Bohr magnetons per cell
V ... 25.8 A^3/atom
Theoretical density ... 6953 kg/m³
Energy relative to the lowest polymorph listed for this composition ... 0.000 eV/atom

UZnFe after structural relaxation, computed with PBE.

a = 5.9627 Å, b = 5.9627 Å, c = 5.9627 Å
α = 151.75°, β = 151.75°, γ = 40.38°
Atoms (fractional coordinates):
U  0.0000  0.0000  0.0000
Zn  0.7123  0.7123  0.0000
Fe  0.3538  0.3538  0.0000

Values from the calculation:
Fermi-level density of states ... 1.079 states/eV per atom
Symmetry ... I4mm, No. 107
Uncorrected energy ... -20.927 eV/cell
Total moment ... 0.09 Bohr magnetons per cell
V ... 15.8 A^3/atom
Theoretical density ... 12589 kg/m³

CaZn2Te2 after structural relaxation, computed with PBE.

a = 8.4998 Å, b = 8.4998 Å, c = 8.4998 Å
α = 152.39°, β = 152.39°, γ = 39.45°
Atoms (fractional coordinates):
Ca  0.0000  0.0000  0.0000
Zn  0.2500  0.7500  0.5000
Zn  0.7500  0.2500  0.5000
Te  0.3978  0.3978  0.0000
Te  0.6022  0.6022  0.0000

Values from the calculation:
Fermi-level density of states ... 0.207 states/eV per atom
Symmetry ... I4/mmm, No. 139
Total moment ... 0.00 Bohr magnetons per cell
V ... 26.3 A^3/atom
Theoretical density ... 5373 kg/m³
Energy relative to the lowest polymorph listed for this composition ... 0.064 eV/atom

Ce6GaSb5 after structural relaxation, computed with PBE.

a = 7.7234 Å, b = 7.7234 Å, c = 7.7186 Å
α = 99.62°, β = 99.62°, γ = 120.04°
Atoms (fractional coordinates):
Ce  0.0810  0.4073  0.7439
Ce  0.2432  0.2432  0.2513
Ce  0.4073  0.0810  0.7439
Ce  0.5927  0.9190  0.2561
Ce  0.7568  0.7568  0.7487
Ce  0.9190  0.5927  0.2561
Ga  0.0000  0.0000  0.5000
Sb  0.1716  0.8284  0.0000
Sb  0.3343  0.6657  0.5000
Sb  0.5000  0.5000  0.0000
Sb  0.6657  0.3343  0.5000
Sb  0.8284  0.1716  0.0000

Values from the calculation:
Fermi-level density of states ... 2.821 states/eV per atom
Symmetry ... C2/m, No. 12
Uncorrected energy ... -69.865 eV/cell
Total moment ... 3.72 Bohr magnetons per cell
V ... 31.3 A^3/atom
Theoretical density ... 6716 kg/m³

RbZrAu2 after structural relaxation, computed with PBE.

a = 5.1705 Å, b = 5.1705 Å, c = 5.1705 Å
α = 60.00°, β = 60.00°, γ = 60.00°
Atoms (fractional coordinates):
Rb  0.0000  0.0000  0.0000
Zr  0.5000  0.5000  0.5000
Au  0.2500  0.2500  0.2500
Au  0.7500  0.7500  0.7500

Values from the calculation:
Fermi-level density of states ... 1.028 states/eV per atom
Symmetry ... Fm-3m, No. 225
Total moment ... 0.00 Bohr magnetons per cell
V ... 24.4 A^3/atom
Theoretical density ... 9694 kg/m³
Energy relative to the lowest polymorph listed for this composition ... 0.553 eV/atom

YZrTlI2 after structural relaxation, computed with PBE.

a = 5.6280 Å, b = 5.6280 Å, c = 5.9928 Å
α = 90.00°, β = 90.00°, γ = 90.00°
Atoms (fractional coordinates):
Y  0.0000  0.0000  0.0000
Zr  0.0000  0.0000  0.5000
Tl  0.5000  0.5000  0.0000
I  0.0000  0.5000  0.5000
I  0.5000  0.0000  0.5000

Values from the calculation:
Fermi-level density of states ... 1.436 states/eV per atom
Symmetry ... P4/mmm, No. 123
Uncorrected energy ... -19.801 eV/cell
Total moment ... 0.00 Bohr magnetons per cell
V ... 38.0 A^3/atom
Theoretical density ... 5584 kg/m³

BaCrAs4 after structural relaxation, computed with PBE.

a = 5.8380 Å, b = 5.8380 Å, c = 5.8380 Å
α = 60.00°, β = 60.00°, γ = 60.00°
Atoms (fractional coordinates):
Ba  0.0000  0.0000  0.0000
Cr  0.7500  0.7500  0.7500
As  0.3800  0.3800  0.3800
As  0.3800  0.3800  0.8601
As  0.3800  0.8601  0.3800
As  0.8601  0.3800  0.3800

Values from the calculation:
Fermi-level density of states ... 0.459 states/eV per atom
Symmetry ... F-43m, No. 216
Uncorrected energy ... -29.630 eV/cell
Total moment ... 4.54 Bohr magnetons per cell
V ... 23.4 A^3/atom
Theoretical density ... 5772 kg/m³

CaMg4Cd2Ag after structural relaxation, computed with PBE.

a = 9.2808 Å, b = 9.2808 Å, c = 9.2808 Å
α = 30.70°, β = 30.70°, γ = 30.70°
Atoms (fractional coordinates):
Ca  0.0000  0.0000  0.0000
Mg  0.1337  0.1337  0.1337
Mg  0.3967  0.3967  0.3967
Mg  0.6033  0.6033  0.6033
Mg  0.8663  0.8663  0.8663
Cd  0.2589  0.2589  0.2589
Cd  0.7411  0.7411  0.7411
Ag  0.5000  0.5000  0.5000

Values from the calculation:
Fermi-level density of states ... 0.394 states/eV per atom
Symmetry ... R-3m, No. 166
Uncorrected energy ... -14.211 eV/cell
Total moment ... 0.00 Bohr magnetons per cell
V ... 23.1 A^3/atom
Theoretical density ... 4225 kg/m³

AlTl2Fe after structural relaxation, computed with PBE.

a = 3.1621 Å, b = 3.1621 Å, c = 8.6359 Å
α = 90.00°, β = 90.00°, γ = 90.00°
Atoms (fractional coordinates):
Al  0.0000  0.0000  0.0000
Tl  0.0000  0.0000  0.3593
Tl  0.5000  0.5000  0.7071
Fe  0.5000  0.5000  0.1266

Values from the calculation:
Fermi-level density of states ... 0.833 states/eV per atom
Symmetry ... P4mm, No. 99
Total moment ... 1.84 Bohr magnetons per cell
V ... 21.6 A^3/atom
Theoretical density ... 9454 kg/m³
Energy relative to the lowest polymorph listed for this composition ... 0.000 eV/atom

Co2AgPt after structural relaxation, computed with PBE.

a = 5.2217 Å, b = 5.2217 Å, c = 5.2217 Å
α = 149.17°, β = 129.09°, γ = 60.71°
Atoms (fractional coordinates):
Co  0.0000  0.0000  0.0000
Co  0.7927  0.2927  0.5000
Ag  0.5278  0.5278  0.0000
Pt  0.2462  0.7462  0.5000

Values from the calculation:
Fermi-level density of states ... 1.347 states/eV per atom
Symmetry ... Imm2, No. 44
Uncorrected energy ... -22.346 eV/cell
Total moment ... 3.95 Bohr magnetons per cell
V ... 14.0 A^3/atom
Theoretical density ... 12446 kg/m³

Te2MoBr after structural relaxation, computed with PBE.

a = 4.1956 Å, b = 4.1956 Å, c = 6.7632 Å
α = 90.00°, β = 90.00°, γ = 90.00°
Atoms (fractional coordinates):
Te  0.0000  0.5000  0.0000
Te  0.5000  0.0000  0.0000
Mo  0.0000  0.0000  0.5000
Br  0.5000  0.5000  0.5000

Values from the calculation:
Fermi-level density of states ... 0.533 states/eV per atom
Symmetry ... P4/mmm, No. 123
Total moment ... 4.39 Bohr magnetons per cell
V ... 29.8 A^3/atom
Theoretical density ... 6012 kg/m³
Energy relative to the lowest polymorph listed for this composition ... 0.815 eV/atom

Y2AgHPt after structural relaxation, computed with PBE.

a = 5.0102 Å, b = 5.0102 Å, c = 3.7311 Å
α = 90.00°, β = 90.00°, γ = 90.00°
Atoms (fractional coordinates):
Y  0.0000  0.5000  0.0000
Y  0.5000  0.0000  0.0000
Ag  0.0000  0.0000  0.5000
H  0.5000  0.5000  0.0000
Pt  0.5000  0.5000  0.5000

Values from the calculation:
Fermi-level density of states ... 0.742 states/eV per atom
Symmetry ... P4/mmm, No. 123
Total moment ... 0.00 Bohr magnetons per cell
V ... 18.7 A^3/atom
Theoretical density ... 8542 kg/m³
Energy relative to the lowest polymorph listed for this composition ... 0.000 eV/atom

Tb7Y6Er16 after structural relaxation, computed with PBE.

a = 11.0536 Å, b = 11.0536 Å, c = 11.0536 Å
α = 60.00°, β = 60.00°, γ = 60.00°
Atoms (fractional coordinates):
Tb  0.0000  0.0000  0.0000
Tb  0.0000  0.0000  0.5000
Tb  0.0000  0.5000  0.0000
Tb  0.0000  0.5000  0.5000
Tb  0.5000  0.0000  0.0000
Tb  0.5000  0.0000  0.5000
Tb  0.5000  0.5000  0.0000
Y  0.2811  0.2811  0.7189
Y  0.2811  0.7189  0.2811
Y  0.2811  0.7189  0.7189
Y  0.7189  0.2811  0.2811
Y  0.7189  0.2811  0.7189
Y  0.7189  0.7189  0.2811
Er  0.0392  0.6536  0.6536
Er  0.1230  0.1230  0.1230
Er  0.1230  0.1230  0.6311
Er  0.1230  0.6311  0.1230
Er  0.3464  0.3464  0.3464
Er  0.3464  0.3464  0.9608
Er  0.3464  0.9608  0.3464
Er  0.3689  0.8770  0.8770
Er  0.6311  0.1230  0.1230
Er  0.6536  0.0392  0.6536
Er  0.6536  0.6536  0.0392
Er  0.6536  0.6536  0.6536
Er  0.8770  0.3689  0.8770
Er  0.8770  0.8770  0.3689
Er  0.8770  0.8770  0.8770
Er  0.9608  0.3464  0.3464

Values from the calculation:
Fermi-level density of states ... 2.071 states/eV per atom
Symmetry ... Fm-3m, No. 225
Uncorrected energy ... -137.187 eV/cell
Total moment ... 5.42 Bohr magnetons per cell
V ... 32.9 A^3/atom
Theoretical density ... 7515 kg/m³